No. 1
First-principles (PBE) data for a relaxed structure of Ce2Mg2Cd, as listed in Alexandria.

As for the formation energy: -30 kJ/mol of formula units. The spin magnetization is 2.992 μB per cell. The calculation puts the polymorph energy (0 for the lowest one) at 0.018 eV/atom. As for the total DFT energy (no corrections): -0.11967 Ha/atom. As for the density of states at the Fermi level: 1.743 states/eV per atom.

It has space group C2/c (No. 15), with a = 11.8636 Å, b = 5.9597 Å, c = 7.8147 Å, α = 90.00°, β = 111.97° and γ = 90.00°. The asymmetric unit holds Ce at (0.0732, 0.1184, 0.4338), Mg at (0.1951, 0.3728, 0.1482) and Cd at (0.0000, 0.3808, 0.7500).


No. 2
First-principles (PBE) data for a relaxed structure of CeMg2Cd4, as listed in Alexandria.

As for the formation energy: -93 kJ/mol of formula units. The spin magnetization is 2.561 μB per cell. As for the total DFT energy (no corrections): -0.07218 Ha/atom. As for the density of states at the Fermi level: 1.211 states/eV per atom.

It has space group Immm (No. 71), with a = 3.1441 Å, b = 4.8776 Å, c = 21.2793 Å, α = 90.00°, β = 90.00° and γ = 90.00°. The asymmetric unit holds Ce at (0.0000, 0.0000, 0.0000), Mg at (0.0000, 0.5000, 0.2088), Cd at (0.0000, 0.0000, 0.4227) and Cd at (0.0000, 0.5000, 0.3485).